(1)
Here is a geometry-optimized CoReW2 structure from the Alexandria database. Energies are from PBE.

Properties
The value obtained for the density is 17.4 g/cm³. As for the formation energy: 0.74 eV per formula unit. As for the volume: 14.61 Å³/atom. The energy is -11.181 eV/atom. As for the energy above the most stable polymorph in this dataset: 0.060 eV per atom.

abc: 9.0854 2.7356 4.7770
angles: 90.00 100.03 90.00
With the nearest neighbours (Å) after each atom.
Space group Cm (No. 8)
Symmetry-distinct sites (fractional):
Co: 0.0000 0.0000 0.0000 x2  3 Re 2.62-2.87, 7 W 2.65-2.77, 2 Co 2.74
Re: 0.2330 0.5000 0.2446 x2  3 Co 2.62-2.87, 7 W 2.65-2.84, 2 Re 2.74
W: 0.2588 0.0000 0.7729 x2  3 Co 2.65-2.76, 4 Re 2.68-2.84, 5 W 2.71-2.88
W: 0.4951 0.0000 0.4946 x2  3 Re 2.65-2.82, 5 W 2.71-2.88, 4 Co 2.74-2.77

(2)
Here is a geometry-optimized Ti3RePt structure from the Alexandria database. Energies are from PBE.

Properties
The value obtained for the density is 8.5 g/cm³. As for the formation energy: 4.49 eV per formula unit. As for the volume: 20.48 Å³/atom. The energy is -7.537 eV/atom. As for the energy above the most stable polymorph in this dataset: 0.294 eV per atom.

abc: 4.6781 4.6781 4.6781
angles: 90.00 90.00 90.00
With the nearest neighbours (Å) after each atom.
Space group Pm-3m (No. 221)
Symmetry-distinct sites (fractional):
Ti: 0.0000 0.0000 0.5000 x3  2 Pt 2.34
Re: 0.5000 0.5000 0.5000 x1  12 Ti 3.31
Pt: 0.0000 0.0000 0.0000 x1  6 Ti 2.34

(3)
Here is a geometry-optimized ZnSn3O structure from the Alexandria database. Energies are from PBE.

Properties
The value obtained for the density is 5.3 g/cm³. As for the volume: 27.20 Å³/atom. Its energy relative to the elements, uncorrected is 327 kJ/mol of formula units. The energy is -2.971 eV/atom. As for the energy above the most stable polymorph in this dataset: 0.808 eV per atom.

abc: 5.1425 5.1425 5.1425
angles: 90.00 90.00 90.00
With the nearest neighbours (Å) after each atom.
Space group Pm-3m (No. 221)
Symmetry-distinct sites (fractional):
Zn: 0.0000 0.0000 0.0000 x1  6 Sn 2.57
Sn: 0.0000 0.0000 0.5000 x3  2 Zn 2.57
O: 0.5000 0.5000 0.5000 x1  12 Sn 3.64

(4)
Here is a geometry-optimized MgTlSn4 structure from the Alexandria database. Energies are from PBE.

Properties
The value obtained for the density is 7.2 g/cm³. As for the formation energy: 0.06 eV per formula unit. As for the volume: 27.13 Å³/atom. The energy is -3.319 eV/atom. As for the energy above the most stable polymorph in this dataset: 0.000 eV per atom.

abc: 5.4366 5.4366 6.3604
angles: 90.00 90.00 120.00
With the nearest neighbours (Å) after each atom.
Space group P6/mmm (No. 191)
Symmetry-distinct sites (fractional):
Mg: 0.0000 0.0000 0.0000 x1  2 Tl 3.18, 12 Sn 3.49
Tl: 0.0000 0.0000 0.5000 x1  2 Mg 3.18, 12 Sn 3.54
Sn: 0.3333 0.6667 0.2411 x4  5 Sn 3.07-3.29

(5)
Here is a geometry-optimized Li3CaGe3 structure from the Alexandria database. Energies are from PBE.

Properties
The value obtained for the density is 2.9 g/cm³. As for the formation energy: 1.23 eV per formula unit. As for the volume: 22.69 Å³/atom. The energy is -2.909 eV/atom. As for the energy above the most stable polymorph in this dataset: 0.562 eV per atom.

abc: 6.8235 6.8235 6.8235
angles: 90.00 90.00 90.00
With the nearest neighbours (Å) after each atom.
Space group Pm-3n (No. 223)
Symmetry-distinct sites (fractional):
Li: 0.0000 0.2500 0.5000 x6  4 Ge 2.41
Ca: 0.0000 0.0000 0.0000 x2  12 Ge 3.81, 12 Li 3.81
Ge: 0.0000 0.5000 0.2500 x6  4 Li 2.41

(6)
Here is a geometry-optimized LaDyCuRu structure from the Alexandria database. Energies are from PBE.

Properties
The value obtained for the density is 8.9 g/cm³. As for the formation energy: -0.94 eV per formula unit. As for the volume: 21.76 Å³/atom. The energy is -5.959 eV/atom.

abc: 7.0351 7.0351 7.0351
angles: 90.00 90.00 90.00
With the nearest neighbours (Å) after each atom.
Space group F-43m (No. 216)
Symmetry-distinct sites (fractional):
La: 0.0000 0.0000 0.0000 x4  4 Ru 3.05, 4 Cu 3.05
Dy: 0.0000 0.0000 0.5000 x4  4 Ru 3.05, 4 Cu 3.05
Cu: 0.2500 0.2500 0.2500 x4  4 La 3.05, 4 Dy 3.05
Ru: 0.2500 0.2500 0.7500 x4  4 La 3.05, 4 Dy 3.05

(7)
Here is a geometry-optimized TbLuGaCo structure from the Alexandria database. Energies are from PBE.

Properties
The value obtained for the density is 9.4 g/cm³. As for the formation energy: -1.36 eV per formula unit. As for the volume: 20.46 Å³/atom. The energy is -5.160 eV/atom.

abc: 6.8916 6.8916 6.8916
angles: 90.00 90.00 90.00
With the nearest neighbours (Å) after each atom.
Space group F-43m (No. 216)
Symmetry-distinct sites (fractional):
Tb: 0.0000 0.0000 0.0000 x4  4 Co 2.98, 4 Ga 2.98
Lu: 0.0000 0.0000 0.5000 x4  4 Co 2.98, 4 Ga 2.98
Ga: 0.2500 0.2500 0.7500 x4  4 Tb 2.98, 4 Lu 2.98
Co: 0.2500 0.2500 0.2500 x4  4 Tb 2.98, 4 Lu 2.98

(8)
Here is a geometry-optimized Ti4Tc3Ge structure from the Alexandria database. Energies are from PBE.

Properties
The value obtained for the density is 7.7 g/cm³. As for the formation energy: -4.51 eV per formula unit. As for the volume: 15.13 Å³/atom. The energy is -8.975 eV/atom.

abc: 3.1942 4.3417 8.7268
angles: 90.00 90.00 90.00
With the nearest neighbours (Å) after each atom.
Space group Pmmm (No. 47)
Symmetry-distinct sites (fractional):
Ti: 0.0000 0.0000 0.0000 x1  8 Tc 2.70-2.75
Ti: 0.0000 0.0000 0.5000 x1  4 Tc 2.66, 4 Ge 2.70
Ti: 0.0000 0.5000 0.2424 x2  6 Tc 2.65-2.70, 2 Ge 2.76
Tc: 0.5000 0.0000 0.2566 x2  8 Ti 2.66-2.75
Tc: 0.5000 0.5000 0.0000 x1  8 Ti 2.65-2.70
Ge: 0.5000 0.5000 0.5000 x1  8 Ti 2.70-2.76